## one
16
Lattice="3.9544 0.0000 0.0000 -1.9772 6.7997 0.0000 0.0000 0.0000 14.0245" Properties=species:S:1:pos:R:3 comment="Tl3Cu2S3 (PBE, relaxed)" sg=Cmcm crystal_system=orthorhombic pbc="T T T"
Tl 1.9772 5.6524 5.3074
S 1.9772 2.0154 6.5098
Tl 1.9772 5.6524 1.7048
S 1.9772 2.0154 0.5025
S 0.0000 3.6846 3.5061
S 1.9772 3.1151 10.5184
Tl 0.0000 5.2712 10.5184
Cu 1.9772 3.7230 12.8786
Tl 0.0000 1.1473 12.3196
Cu 1.9772 3.7230 8.1581
S 0.0000 4.7844 13.5220
S 0.0000 4.7844 7.5147
Tl 0.0000 1.1473 8.7171
Tl 1.9772 1.5286 3.5061
Cu 0.0000 3.0767 1.1459
Cu 0.0000 3.0767 5.8663

## two
16
Lattice="3.8472 0.0000 0.0000 -1.9236 6.3890 0.0000 0.0000 0.0000 16.2259" Properties=species:S:1:pos:R:3 comment="Tl3Cu2S3 (PBE, relaxed)" sg=Cmcm crystal_system=orthorhombic pbc="T T T"
Tl 1.9236 4.7319 6.6886
Cu 1.9236 4.3024 14.1634
Tl 0.0000 5.8270 12.1694
S 1.9236 1.6169 7.1044
S 0.0000 4.7721 15.2174
S 0.0000 4.7721 9.1215
Tl 0.0000 1.6571 14.8015
Tl 1.9236 4.7319 1.4243
Cu 1.9236 4.3024 10.1754
S 1.9236 1.6169 1.0085
Tl 1.9236 0.5620 4.0565
Cu 0.0000 2.0866 6.0504
Tl 0.0000 1.6571 9.5373
Cu 0.0000 2.0866 2.0625
S 1.9236 3.3423 12.1694
S 0.0000 3.0467 4.0565

two wins, 0.008 eV/atom ahead of the next structure.

## one
28
Lattice="-1.2386 -3.0003 -2.3613 11.9295 -2.3468 -3.2754 1.1073 -8.3264 9.9987" Properties=species:S:1:pos:R:3 comment="Tl2Cu2S3 (PBE, relaxed)" sg=Pnma crystal_system=orthorhombic pbc="T T T"
Tl 11.6663 -9.6385 4.4217
S 5.8670 -4.5471 -2.4172
S 3.4067 -2.5623 -0.2371
Cu 9.8526 -5.1221 -0.3655
Cu 6.3470 -11.2260 5.8172
S 8.3915 -11.1112 4.5991
S 0.8130 -4.0653 3.0331
S 1.5403 -9.8156 6.5465
Tl 6.8392 -4.6346 0.5957
Tl 8.1793 -4.5341 -3.6465
S 9.0106 -7.1787 -0.7223
Cu 0.6020 -5.5479 5.0276
S 2.7877 -6.4948 5.0843
Tl 8.5451 -8.6603 1.4044
Tl 3.6189 -9.1394 8.0086
Tl 4.9590 -9.0389 3.7663
Tl 3.2531 -5.0132 2.9576
Tl 0.1319 -4.0350 -0.0597
S 10.9852 -9.6082 1.3289
Cu 5.4512 -2.4475 -1.4552
S 10.2579 -3.8579 -2.1845
S 5.9312 -9.1264 6.7792
S 3.9465 -6.2347 0.7345
Cu 3.1742 -4.7388 -0.7612
Cu 1.9456 -8.5514 4.7275
Cu 11.1962 -8.1256 -0.6656
Cu 8.6240 -8.9347 5.1232
S 7.8517 -7.4388 3.6276

## two
14
Lattice="3.8558 0.0000 0.8547 1.6140 8.5307 1.8432 -0.1352 0.9195 9.7346" Properties=species:S:1:pos:R:3 comment="Tl2Cu2S3 (PBE, relaxed)" sg=C2/m crystal_system=monoclinic pbc="T T T"
Cu 2.3902 5.0573 7.4663
S 2.7511 6.6669 5.8381
Tl 4.2182 7.8273 8.3442
S 5.2417 8.5837 3.7268
Cu 4.9520 6.6997 5.0341
Tl 3.6046 6.0746 1.9879
S 4.0513 4.9808 9.0972
S 0.0929 0.8665 8.7057
Cu 2.9444 4.3928 4.9662
S 2.5835 2.7832 6.5944
Tl 1.1164 1.6229 4.0883
Cu 0.3827 2.7505 7.3984
Tl 1.7300 3.3756 10.4446
S 1.2833 4.4694 3.3353

one wins, 0.014 eV/atom ahead of the next structure.

## one
8
Lattice="6.5998 0.0000 0.0000 0.0000 6.5998 0.0000 3.2999 3.2999 5.5747" Properties=species:S:1:pos:R:3 comment="Tl2CuS (PBE, relaxed)" sg=I-42d crystal_system=tetragonal pbc="T T T"
S 3.2999 6.5998 2.7874
S 3.2999 3.2999 0.0000
Tl 1.5576 4.9498 1.3937
Tl 4.9498 4.8575 4.1811
Cu 6.5998 3.2999 2.7874
Tl 5.0422 1.6499 1.3937
Tl 8.2497 8.3421 4.1811
Cu 0.0000 0.0000 0.0000

## two
4
Lattice="-4.8522 -1.6349 0.2570 -2.8058 0.9473 4.1848 -3.8557 3.3724 -0.2083" Properties=species:S:1:pos:R:3 comment="Tl2CuS (PBE, relaxed)" sg=Fm-3m crystal_system=cubic pbc="T T T"
Cu -5.7568 1.3424 2.1168
Tl -2.8784 0.6712 1.0584
Tl -8.6352 2.0135 3.1752
S 0.0000 0.0000 0.0000

one wins, 0.127 eV/atom ahead of the next structure.